1.
{"formula": "Nd4SmS7", "functional": "PBE", "state": "relaxed", "lattice": [[6.6851, -1.9757, 0.0000], [6.6851, 1.9757, 0.0000], [-3.0823, 0.0000, 11.5227]], "species": ["Nd", "Nd", "Nd", "Nd", "Sm", "S", "S", "S", "S", "S", "S", "S"], "fractional_positions": [[0.0000, 0.0000, 0.0000], [0.1894, 0.1894, 0.7683], [0.5878, 0.5878, 0.3877], [0.8884, 0.8884, 0.5770], [0.7766, 0.7766, 0.1566], [0.1510, 0.1510, 0.2261], [0.2286, 0.2286, 0.5269], [0.3866, 0.3866, 0.0789], [0.5482, 0.5482, 0.6287], [0.6294, 0.6294, 0.9312], [0.8460, 0.8460, 0.7931], [0.9305, 0.9305, 0.3606]], "sg": "Cm", "magmom_total_mub_per_fu": 0.000, "vol_a3_per_atom": 25.365, "e_form_raw_ev_per_atom": -2.053}

---

2.
{"formula": "HfIO2F", "functional": "PBE", "state": "relaxed", "lattice": [[4.0105, 0.0000, 0.0000], [0.0000, 4.0105, 0.0000], [0.0000, 0.0000, 5.9209]], "species": ["Hf", "I", "O", "O", "F"], "fractional_positions": [[0.0000, 0.0000, 0.0000], [0.5000, 0.5000, 0.5000], [0.0000, 0.5000, 0.5000], [0.5000, 0.0000, 0.5000], [0.5000, 0.5000, 0.0000]], "sg": "P4/mmm", "magmom_total_mub_per_fu": 1.953, "vol_a3_per_atom": 19.047, "e_form_raw_ev_per_atom": 0.133}